Compound: CsSnS2
Source: the Alexandria database
Functional: PBE
Structure: relaxed

Calculated values
E_tot ... -4.020 eV per atom
Formation energy without anion corrections ... -743 meV/atom
DOS(E_F) ... 1.12 states/eV/f.u.
Total magnetic moment ... 0.00 μB/atom

Lattice parameters (Å, degrees): 8.0439 5.1509 12.2156 90.00 90.00 90.00
Last column: nearest neighbours and their distance in Å.
Fractional positions:
Cs1 0.1185 0.2500 0.1301  5 S 3.53-3.76
Cs2 0.3815 0.7500 0.6301  5 S 3.53-3.76
Cs3 0.6185 0.2500 0.3699  5 S 3.53-3.76
Cs4 0.8815 0.7500 0.8699  5 S 3.53-3.76
Sn1 0.0544 0.7500 0.3857  4 S 2.46-2.73
Sn2 0.4456 0.2500 0.8857  4 S 2.46-2.73
Sn3 0.5544 0.7500 0.1143  4 S 2.46-2.73
Sn4 0.9456 0.2500 0.6143  4 S 2.46-2.73
S1 0.1367 0.2500 0.4374  3 Sn 2.65-2.73
S2 0.1406 0.2500 0.7696  1 Sn 2.46
S3 0.3594 0.7500 0.2696  1 Sn 2.46
S4 0.3633 0.7500 0.9374  3 Sn 2.65-2.73
S5 0.6367 0.2500 0.0626  3 Sn 2.65-2.73
S6 0.6406 0.2500 0.7304  1 Sn 2.46
S7 0.8594 0.7500 0.2304  1 Sn 2.46
S8 0.8633 0.7500 0.5626  3 Sn 2.65-2.73

=====

Compound: CsSnS4
Source: the Alexandria database
Functional: PBE
Structure: relaxed

Calculated values
E_tot ... -3.956 eV per atom
Formation energy without anion corrections ... -395 meV/atom
DOS(E_F) ... 0.80 states/eV/f.u.
Total magnetic moment ... 0.17 μB/atom

Lattice parameters (Å, degrees): 8.6718 8.6718 6.6016 93.04 93.04 122.83
Last column: nearest neighbours and their distance in Å.
Fractional positions:
Cs1 0.1242 0.8758 0.7500  8 S 3.63-3.85
Cs2 0.8758 0.1242 0.2500  8 S 3.63-3.85
Sn1 0.4620 0.5380 0.2500  4 S 2.49-2.51
Sn2 0.5380 0.4620 0.7500  4 S 2.49-2.51
S1 0.1939 0.6208 0.3355  1 S 2.01
S2 0.2570 0.3661 0.9319  2 Sn 2.49-2.51
S3 0.3661 0.2570 0.4319  2 Sn 2.49-2.51
S4 0.3792 0.8061 0.1645  1 S 2.01
S5 0.6208 0.1939 0.8355  1 S 2.01
S6 0.6339 0.7430 0.5681  2 Sn 2.49-2.51
S7 0.7430 0.6339 0.0681  2 Sn 2.49-2.51
S8 0.8061 0.3792 0.6645  1 S 2.01

=====

Compound: Cs4SnS4
Source: the Alexandria database
Functional: PBE
Structure: relaxed

Calculated values
E_tot ... -3.493 eV per atom
Formation energy without anion corrections ... -835 meV/atom
Total magnetic moment ... 0.00 μB/atom

Lattice parameters (Å, degrees): 8.0903 8.0903 8.0903 100.80 100.80 128.70
Last column: nearest neighbours and their distance in Å.
Fractional positions:
Cs1 0.0915 0.7035 0.7950  4 S 3.41-3.57
Cs2 0.2965 0.0915 0.3880  4 S 3.41-3.57
Cs3 0.7035 0.9085 0.6120  4 S 3.41-3.57
Cs4 0.9085 0.2965 0.2050  4 S 3.41-3.57
Sn1 0.5000 0.5000 0.0000  4 S 2.50
S1 0.2691 0.4248 0.6939  1 Sn 2.50
S2 0.4248 0.7309 0.1557  1 Sn 2.50
S3 0.5752 0.2691 0.8443  1 Sn 2.50
S4 0.7309 0.5752 0.3061  1 Sn 2.50

=====

Compound: CsSnS3
Source: the Alexandria database
Functional: PBE
Structure: relaxed

Calculated values
E_tot ... -3.762 eV per atom
Formation energy without anion corrections ... -314 meV/atom
DOS(E_F) ... 4.42 states/eV/f.u.
Total magnetic moment ... 0.00 μB/atom

Lattice parameters (Å, degrees): 5.1788 5.1788 5.1788 90.00 90.00 90.00
Last column: nearest neighbours and their distance in Å.
Fractional positions:
Cs1 0.0000 0.0000 0.0000  12 S 3.66
Sn1 0.5000 0.5000 0.5000  6 S 2.59
S1 0.0000 0.5000 0.5000  2 Sn 2.59
S2 0.5000 0.0000 0.5000  2 Sn 2.59
S3 0.5000 0.5000 0.0000  2 Sn 2.59

=====

Compound: Cs4SnS4
Source: the Alexandria database
Functional: PBE
Structure: relaxed

Calculated values
E_tot ... -3.713 eV per atom
Formation energy without anion corrections ... -1054 meV/atom
DOS(E_F) ... 0.00 states/eV/f.u.
Total magnetic moment ... 0.00 μB/atom

Lattice parameters (Å, degrees): 9.7571 9.7571 7.5891 90.00 90.00 90.00
Last column: nearest neighbours and their distance in Å.
Fractional positions:
Cs1 0.0267 0.2500 0.1042  5 S 3.58-3.62, 1 Sn 3.81
Cs2 0.2500 0.0267 0.6042  5 S 3.58-3.62, 1 Sn 3.81
Cs3 0.2500 0.4733 0.6042  5 S 3.58-3.62, 1 Sn 3.81
Cs4 0.4733 0.2500 0.1042  5 S 3.58-3.62, 1 Sn 3.81
Cs5 0.5267 0.7500 0.8958  5 S 3.58-3.62, 1 Sn 3.81
Cs6 0.7500 0.5267 0.3958  5 S 3.58-3.62, 1 Sn 3.81
Cs7 0.7500 0.9733 0.3958  5 S 3.58-3.62, 1 Sn 3.81
Cs8 0.9733 0.7500 0.8958  5 S 3.58-3.62, 1 Sn 3.81
Sn1 0.2500 0.7500 0.2500  4 S 2.43
Sn2 0.7500 0.2500 0.7500  4 S 2.43
S1 0.0454 0.7500 0.4330  1 Sn 2.43
S2 0.2500 0.5454 0.0670  1 Sn 2.43
S3 0.2500 0.9546 0.0670  1 Sn 2.43
S4 0.4546 0.7500 0.4330  1 Sn 2.43
S5 0.5454 0.2500 0.5670  1 Sn 2.43
S6 0.7500 0.0454 0.9330  1 Sn 2.43
S7 0.7500 0.4546 0.9330  1 Sn 2.43
S8 0.9546 0.2500 0.5670  1 Sn 2.43

=====

Compound: Cs2SnS
Source: the Alexandria database
Functional: PBE
Structure: relaxed

Calculated values
E_tot ... -2.526 eV per atom
Formation energy without anion corrections ... -66 meV/atom
DOS(E_F) ... 4.62 states/eV/f.u.
Total magnetic moment ... 0.50 μB/atom

Lattice parameters (Å, degrees): 6.2287 6.2287 6.2287 60.00 60.00 60.00
Last column: nearest neighbours and their distance in Å.
Fractional positions:
Cs1 0.2500 0.2500 0.2500  4 S 3.81, 4 Sn 3.81
Cs2 0.7500 0.7500 0.7500  4 S 3.81, 4 Sn 3.81
Sn1 0.0000 0.0000 0.0000  8 Cs 3.81
S1 0.5000 0.5000 0.5000  8 Cs 3.81

=====

Compound: CsSnS3
Source: the Alexandria database
Functional: PBE
Structure: relaxed

Calculated values
E_tot ... -3.988 eV per atom
Formation energy without anion corrections ... -540 meV/atom
Total magnetic moment ... 0.20 μB/atom

Lattice parameters (Å, degrees): 7.7320 13.1847 7.0463 90.00 95.27 90.00
Last column: nearest neighbours and their distance in Å.
Fractional positions:
Cs1 0.2415 0.0629 0.2447  9 S 3.66-4.08
Cs2 0.2415 0.4371 0.7447  9 S 3.66-4.08
Cs3 0.7585 0.5629 0.2553  9 S 3.66-4.08
Cs4 0.7585 0.9371 0.7553  9 S 3.66-4.08
Sn1 0.2937 0.7202 0.3668  4 S 2.38-2.47
Sn2 0.2937 0.7798 0.8668  4 S 2.38-2.47
Sn3 0.7063 0.2202 0.1332  4 S 2.38-2.47
Sn4 0.7063 0.2798 0.6332  4 S 2.38-2.47
S1 0.0571 0.6736 0.9328  1 Sn 2.38
S2 0.0571 0.8264 0.4328  1 Sn 2.38
S3 0.2293 0.5564 0.2362  1 Sn 2.38
S4 0.2293 0.9436 0.7362  1 Sn 2.38
S5 0.4878 0.6925 0.6600  2 Sn 2.47
S6 0.4878 0.8075 0.1600  2 Sn 2.47
S7 0.5122 0.1925 0.8400  2 Sn 2.47
S8 0.5122 0.3075 0.3400  2 Sn 2.47
S9 0.7707 0.0564 0.2638  1 Sn 2.38
S10 0.7707 0.4436 0.7638  1 Sn 2.38
S11 0.9429 0.1736 0.5672  1 Sn 2.38
S12 0.9429 0.3264 0.0672  1 Sn 2.38

=====

Compound: CsSnS3
Source: the Alexandria database
Functional: PBE
Structure: relaxed

Calculated values
E_tot ... -3.982 eV per atom
Formation energy without anion corrections ... -535 meV/atom
Total magnetic moment ... 0.00 μB/atom

Lattice parameters (Å, degrees): 9.7642 9.7642 7.4783 102.36 102.36 82.17
Last column: nearest neighbours and their distance in Å.
Fractional positions:
Cs1 0.0847 0.3230 0.2388  6 S 3.42-3.80
Cs2 0.3230 0.0847 0.7388  6 S 3.42-3.80
Cs3 0.6770 0.9153 0.2612  6 S 3.42-3.80
Cs4 0.9153 0.6770 0.7612  6 S 3.42-3.80
Sn1 0.2943 0.7057 0.2500  6 S 2.54-2.57
Sn2 0.4223 0.5777 0.7500  2 S 2.59
Sn3 0.5777 0.4223 0.2500  2 S 2.59
Sn4 0.7057 0.2943 0.7500  6 S 2.54-2.57
S1 0.0309 0.7032 0.2334  1 S 2.22
S2 0.1666 0.6793 0.5061  1 S 2.22
S3 0.2968 0.9691 0.2666  1 S 2.22
S4 0.3207 0.8334 0.9939  1 S 2.22
S5 0.3290 0.4630 0.0511  2 Sn 2.54-2.59
S6 0.4630 0.3290 0.5511  2 Sn 2.54-2.59
S7 0.5370 0.6710 0.4489  2 Sn 2.54-2.59
S8 0.6710 0.5370 0.9489  2 Sn 2.54-2.59
S9 0.6793 0.1666 0.0061  1 S 2.22
S10 0.7032 0.0309 0.7334  1 S 2.22
S11 0.8334 0.3207 0.4939  1 S 2.22
S12 0.9691 0.2968 0.7666  1 S 2.22

=====

Compound: Cs5Sn2S6
Source: the Alexandria database
Functional: PBE
Structure: relaxed

Calculated values
E_tot ... -3.783 eV per atom
Formation energy without anion corrections ... -934 meV/atom
DOS(E_F) ... 6.76 states/eV/f.u.
Total magnetic moment ... 0.00 μB/atom

Lattice parameters (Å, degrees): 8.2823 8.2823 18.1403 99.67 99.67 65.87
Last column: nearest neighbours and their distance in Å.
Fractional positions:
Cs1 0.1457 0.8543 0.7500  6 S 3.56-3.95
Cs2 0.1911 0.7264 0.0014  4 S 3.57-3.71
Cs3 0.2337 0.4513 0.2761  5 S 3.45-3.60
Cs4 0.2736 0.8089 0.4986  4 S 3.57-3.71
Cs5 0.4513 0.2337 0.7761  5 S 3.45-3.60
Cs6 0.5487 0.7663 0.2239  5 S 3.45-3.60
Cs7 0.7264 0.1911 0.5014  4 S 3.57-3.71
Cs8 0.7663 0.5487 0.7239  5 S 3.45-3.60
Cs9 0.8089 0.2736 0.9986  4 S 3.57-3.71
Cs10 0.8543 0.1457 0.2500  6 S 3.56-3.95
Sn1 0.1517 0.3976 0.5727  4 S 2.43-2.60
Sn2 0.3976 0.1517 0.0727  4 S 2.43-2.60
Sn3 0.6024 0.8483 0.9273  4 S 2.43-2.60
Sn4 0.8483 0.6024 0.4273  4 S 2.43-2.60
S1 0.1113 0.1869 0.6400  1 Sn 2.45
S2 0.1209 0.3045 0.4286  2 Sn 2.58-2.60
S3 0.1869 0.1113 0.1400  1 Sn 2.45
S4 0.3045 0.1209 0.9286  2 Sn 2.58-2.60
S5 0.4054 0.4724 0.6255  1 Sn 2.43
S6 0.4724 0.4054 0.1255  1 Sn 2.43
S7 0.5276 0.5946 0.8745  1 Sn 2.43
S8 0.5946 0.5276 0.3745  1 Sn 2.43
S9 0.6955 0.8791 0.0714  2 Sn 2.58-2.60
S10 0.8131 0.8887 0.8600  1 Sn 2.45
S11 0.8791 0.6955 0.5714  2 Sn 2.58-2.60
S12 0.8887 0.8131 0.3600  1 Sn 2.45

=====

Compound: Cs2SnS
Source: the Alexandria database
Functional: PBE
Structure: relaxed

Calculated values
E_tot ... -2.754 eV per atom
Formation energy without anion corrections ... -294 meV/atom
DOS(E_F) ... 2.34 states/eV/f.u.
Total magnetic moment ... 0.00 μB/atom

Lattice parameters (Å, degrees): 3.5319 11.2018 4.2160 90.00 90.15 90.00
Last column: nearest neighbours and their distance in Å.
Fractional positions:
Cs1 0.0000 0.1817 0.0000  4 S 3.42, 2 Cs 3.53
Cs2 0.0000 0.8183 0.0000  4 S 3.42, 2 Cs 3.53
Sn1 0.4945 0.5000 0.4991  2 Sn 3.53
S1 0.4998 0.0000 0.5000  8 Cs 3.42, 2 S 3.53

=====

Compound: Cs3SnS3
Source: the Alexandria database
Functional: PBE
Structure: relaxed

Calculated values
E_tot ... -3.593 eV per atom
Formation energy without anion corrections ... -886 meV/atom
DOS(E_F) ... 0.73 states/eV/f.u.
Total magnetic moment ... 0.14 μB/atom

Lattice parameters (Å, degrees): 7.3205 7.3205 7.3205 110.46 110.46 110.46
Last column: nearest neighbours and their distance in Å.
Fractional positions:
Cs1 0.1845 0.1845 0.6310  4 S 3.49-3.63
Cs2 0.1845 0.6310 0.1845  4 S 3.49-3.63
Cs3 0.6310 0.1845 0.1845  4 S 3.49-3.63
Sn1 0.7394 0.7394 0.7394  3 S 2.44
S1 0.0674 0.7310 0.7310  1 Sn 2.44
S2 0.7310 0.0674 0.7310  1 Sn 2.44
S3 0.7310 0.7310 0.0674  1 Sn 2.44

=====

Compound: Cs2SnS
Source: the Alexandria database
Functional: PBE
Structure: relaxed

Calculated values
E_tot ... -2.811 eV per atom
Formation energy without anion corrections ... -352 meV/atom
DOS(E_F) ... 2.83 states/eV/f.u.
Total magnetic moment ... 0.34 μB/atom

Lattice parameters (Å, degrees): 9.2413 9.2413 9.2413 95.36 95.36 144.39
Last column: nearest neighbours and their distance in Å.
Fractional positions:
Cs1 0.3750 0.2197 0.3447  2 S 3.40
Cs2 0.7803 0.1250 0.1553  2 S 3.40
Cs3 0.8750 0.0303 0.6553  2 S 3.40
Cs4 0.9697 0.6250 0.8447  2 S 3.40
Sn1 0.2500 0.7500 0.5000  2 S 2.83
Sn2 0.5000 0.5000 0.0000  2 S 2.83
S1 0.0000 0.0000 0.0000  2 Sn 2.83
S2 0.7500 0.2500 0.5000  2 Sn 2.83